(1)
This record from the Alexandria database describes a relaxed AlTc2 crystal. The functional is PBE.

Properties
space-group type	No. 63
ΔE_f	-0.2368	eV per atom
V	14.5	A^3/atom

Cell and atoms, written as CIF:
```
data_AlTc2
_space_group_name_H-M_alt 'P 1'
_space_group_IT_number 1
_space_group_name_Hall 'P 1'
_cell_length_a 2.859
_cell_length_b 13.755
_cell_length_c 4.417
_cell_angle_alpha 90.00
_cell_angle_beta 90.00
_cell_angle_gamma 90.00
loop_
_atom_site_label
_atom_site_type_symbol
_atom_site_fract_x
_atom_site_fract_y
_atom_site_fract_z
Al1 Al 0.000 0.111 0.250
Al2 Al 0.000 0.889 0.750
Al3 Al 0.500 0.389 0.750
Al4 Al 0.500 0.611 0.250
Tc1 Tc 0.000 0.219 0.750
Tc2 Tc 0.000 0.446 0.250
Tc3 Tc 0.000 0.554 0.750
Tc4 Tc 0.000 0.781 0.250
Tc5 Tc 0.500 0.054 0.750
Tc6 Tc 0.500 0.281 0.250
Tc7 Tc 0.500 0.719 0.750
Tc8 Tc 0.500 0.946 0.250
```



(2)
This record from the Alexandria database describes a relaxed Na2Er2PaTe6 crystal. The functional is PBE.

Properties
space-group type	No. 12
raw total energy	-4.80	eV per atom
V	34.7	A^3/atom

Cell and atoms, written as CIF:
```
data_Na2Er2PaTe6
_space_group_name_H-M_alt 'P 1'
_space_group_IT_number 1
_space_group_name_Hall 'P 1'
_cell_length_a 7.585
_cell_length_b 7.585
_cell_length_c 8.058
_cell_angle_alpha 99.09
_cell_angle_beta 99.09
_cell_angle_gamma 119.88
loop_
_atom_site_label
_atom_site_type_symbol
_atom_site_fract_x
_atom_site_fract_y
_atom_site_fract_z
Na1 Na 0.166 0.834 0.000
Na2 Na 0.834 0.166 0.000
Er1 Er 0.333 0.667 0.500
Er2 Er 0.667 0.333 0.500
Pa1 Pa 0.000 0.000 0.500
Te1 Te 0.079 0.412 0.731
Te2 Te 0.259 0.259 0.271
Te3 Te 0.412 0.079 0.731
Te4 Te 0.588 0.921 0.269
Te5 Te 0.741 0.741 0.729
Te6 Te 0.921 0.588 0.269
```



> Number 1 is which compound?

AlTc2



> What is the formula in the first record?

AlTc2



> The lowest V belongs to which entry?

AlTc2